Density functional theory data (PBE+U) for an optimized crystal structure of TaWN2O.

```
data_TaWN2O
_space_group_name_H-M_alt 'P 4/m m m'
_space_group_IT_number 123
_space_group_name_Hall '-P 4 2'
_cell_length_a 4.1128
_cell_length_b 4.1128
_cell_length_c 3.8494
_cell_angle_alpha 90.00
_cell_angle_beta 90.00
_cell_angle_gamma 90.00
loop_
_atom_site_label
_atom_site_fract_x
_atom_site_fract_y
_atom_site_fract_z
Ta1 0.0000 0.0000 0.0000
W1 0.5000 0.5000 0.5000
N1 0.0000 0.5000 0.0000
O1 0.0000 0.0000 0.5000
```

Values from the calculation:
V: 13.0 Å³ per atom
D(E_F): 0.093 states/eV per atom
Final energy: -8.3786 eV per atom